A relaxed structure of TaBe3Cl. Source: Alexandria via LeMat-Bulk, functional PBE-GGA.

Calculated values
The value obtained for the energy relative to the elements, uncorrected is 1.209 eV per atom.

abc: 4.0866 4.0866 4.0866
angles: 90.00 90.00 90.00
Closest atoms and distances in Å follow each position.
Space group Pm-3m (No. 221)
Unique sites:
1 Ta 0.0000 0.0000 0.0000 (multiplicity 1)  12 Be 2.89
2 Be 0.0000 0.5000 0.5000 (multiplicity 3)  2 Cl 2.04
3 Cl 0.5000 0.5000 0.5000 (multiplicity 1)  6 Be 2.04